A plane-wave DFT calculation with PBE was carried out for crystalline SrSnP2Ir4 at its relaxed geometry.

Calculated values
**Size of the total moment**: 0.000 μB/atom
**Energy**: -7.056 eV per atom
**Calculated volume**: 150.3 Å³ per cell
**Crystal system**: tetragonal

Cell lengths 4.0958, 4.0958, 8.9597 Å; angles 90.00, 90.00, 90.00 degrees
Last column: nearest neighbours and their distance in Å.
Fractional coordinates of all 8 atoms:
Sr: 0.0000 0.0000 0.5000  8 P 3.31, 8 Ir 3.36
Sn: 0.0000 0.0000 0.0000  8 Ir 2.74
P: 0.5000 0.5000 0.3207  4 Ir 2.30
P: 0.5000 0.5000 0.6793  4 Ir 2.30
Ir: 0.0000 0.5000 0.2027  2 P 2.30
Ir: 0.5000 0.0000 0.7973  2 P 2.30
Ir: 0.5000 0.0000 0.2027  2 P 2.30
Ir: 0.0000 0.5000 0.7973  2 P 2.30